# 1
This record from Alexandria describes a relaxed ScCd3B crystal. The functional is PBE-GGA.

CIF file:
```
data_ScCd3B
_chemical_formula_sum 'Sc1 Cd3 B1'
_cell_length_a 4.639
_cell_length_b 4.639
_cell_length_c 4.639
_cell_angle_alpha 90.00
_cell_angle_beta 90.00
_cell_angle_gamma 90.00
_space_group_name_H-M_alt 'P m -3 m'
_space_group_IT_number 221
_space_group_name_Hall '-P 4 2 3'
loop_
_atom_site_label
_atom_site_type_symbol
_atom_site_fract_x
_atom_site_fract_y
_atom_site_fract_z
Sc1 Sc 0.000 0.000 0.000
Cd1 Cd 0.000 0.500 0.500
B1 B 0.500 0.500 0.500
```

Output
E_tot = -0.19757 Ry/atom
magnetization = 0.0 μB/f.u.
formation energy = 0.4628 eV/atom

# 2
This record from Alexandria describes a relaxed NdSmCdOs crystal. The functional is PBE-GGA.

CIF file:
```
data_NdSmCdOs
_chemical_formula_sum 'Nd4 Sm4 Cd4 Os4'
_cell_length_a 7.284
_cell_length_b 7.284
_cell_length_c 7.284
_cell_angle_alpha 90.00
_cell_angle_beta 90.00
_cell_angle_gamma 90.00
_space_group_name_H-M_alt 'F -4 3 m'
_space_group_IT_number 216
_space_group_name_Hall 'F -4 2 3'
loop_
_atom_site_label
_atom_site_type_symbol
_atom_site_fract_x
_atom_site_fract_y
_atom_site_fract_z
Nd1 Nd 0.000 0.000 0.000
Sm1 Sm 0.000 0.000 0.500
Cd1 Cd 0.250 0.250 0.250
Os1 Os 0.250 0.250 0.750
```

Output
E_tot = -0.40350 Ry/atom
magnetization = 0.0 μB/f.u.
formation energy = -0.0819 eV/atom

no.,density (g/cm³)
1,6.5
2,10.3